# 1
Zr2BeFe2Co5 (GGA-PBE, relaxed); DOS at the Fermi energy = 1.08 states/eV per atom; SG = P4/mbm; electronic total energy = -147.1 eV for the cell shown
1.0
8.527 0.000 0.000
0.000 8.527 0.000
0.000 0.000 3.602
Zr Be Fe Co
4 2 4 10
Direct
0.180 0.320 0.000
0.320 0.820 0.000
0.680 0.180 0.000
0.820 0.680 0.000
0.000 0.000 0.000
0.500 0.500 0.000
0.122 0.622 0.000
0.378 0.122 0.000
0.622 0.878 0.000
0.878 0.378 0.000
0.000 0.500 0.500
0.054 0.804 0.500
0.196 0.054 0.500
0.304 0.554 0.500
0.446 0.304 0.500
0.500 0.000 0.500
0.554 0.696 0.500
0.696 0.446 0.500
0.804 0.946 0.500
0.946 0.196 0.500

# 2
CrSiAuS (GGA-PBE, relaxed); DOS at the Fermi energy = 0.66 states/eV per atom; raw formation energy = -231 meV per atom; SG = P3m1; polymorph energy (0 for the lowest one) = 0.011 eV/atom; electronic total energy = -23.4 eV for the cell shown
1.0
3.004 0.000 0.000
-1.502 2.602 0.000
0.000 0.000 8.055
Cr Si Au S
1 1 1 1
Direct
0.000 0.000 0.000
0.333 0.667 0.219
0.333 0.667 0.515
0.333 0.667 0.825

# 3
ScTa2Pb (GGA-PBE, relaxed); DOS at the Fermi energy = 1.07 states/eV per atom; SG = Cmmm; electronic total energy = -32.1 eV for the cell shown
1.0
1.814 -2.422 0.000
1.814 2.422 0.000
0.000 0.000 9.594
Sc Ta Pb
1 2 1
Direct
0.000 0.000 0.000
0.500 0.500 0.250
0.500 0.500 0.750
0.000 0.000 0.500

# 4
Nd8DyEr3 (GGA-PBE, relaxed); DOS at the Fermi energy = 1.89 states/eV per atom; SG = C2/m; electronic total energy = -55.1 eV for the cell shown
1.0
3.527 -6.002 0.000
3.527 6.002 0.000
-2.432 0.000 9.562
Nd Dy Er
8 1 3
Direct
0.180 0.683 0.666
0.181 0.181 0.164
0.317 0.820 0.334
0.320 0.320 0.833
0.680 0.680 0.167
0.683 0.180 0.666
0.819 0.819 0.836
0.820 0.317 0.334
0.500 0.500 0.500
0.000 0.000 0.500
0.000 0.500 0.000
0.500 0.000 0.000

# 5
Nd2AlNi4Ge3 (GGA-PBE, relaxed); DOS at the Fermi energy = 0.61 states/eV per atom; SG = P-4m2; electronic total energy = -57.2 eV for the cell shown
1.0
4.137 0.000 0.000
0.000 4.137 0.000
0.000 0.000 9.849
Nd Al Ni Ge
2 1 4 3
Direct
0.000 0.500 0.246
0.500 0.000 0.754
0.000 0.000 0.500
0.000 0.000 0.000
0.000 0.500 0.631
0.500 0.000 0.369
0.500 0.500 0.000
0.000 0.500 0.874
0.500 0.000 0.126
0.500 0.500 0.500

# 6
DyScInIr (GGA-PBE, relaxed); DOS at the Fermi energy = 0.62 states/eV per atom; SG = F-43m; electronic total energy = -24.8 eV for the cell shown
1.0
0.000 3.490 3.490
3.490 0.000 3.490
3.490 3.490 0.000
Dy Sc In Ir
1 1 1 1
Direct
0.000 0.000 0.000
0.500 0.500 0.500
0.250 0.250 0.250
0.750 0.750 0.750

# 7
PrY4Te5 (GGA-PBE, relaxed); DOS at the Fermi energy = 0.60 states/eV per atom; raw formation energy = -1331 meV per atom; SG = Immm; polymorph energy (0 for the lowest one) = 0.003 eV/atom; electronic total energy = -59.7 eV for the cell shown
1.0
-2.189 3.106 11.078
2.189 -3.106 11.078
2.189 3.106 -11.078
Pr Y Te
1 4 5
Direct
0.000 0.000 0.000
0.204 0.204 0.000
0.402 0.402 0.000
0.598 0.598 0.000
0.796 0.796 0.000
0.106 0.606 0.500
0.302 0.802 0.500
0.500 0.000 0.500
0.698 0.198 0.500
0.894 0.394 0.500

# 8
AsRuO2 (GGA-PBE, relaxed); DOS at the Fermi energy = 0.43 states/eV per atom; raw formation energy = -491 meV per atom; SG = R-3m; electronic total energy = -25.8 eV for the cell shown
1.0
1.480 0.854 6.591
-1.480 0.854 6.591
0.000 -1.709 6.591
As Ru O
1 1 2
Direct
0.000 0.000 0.000
0.500 0.500 0.500
0.107 0.107 0.107
0.893 0.893 0.893

# 9
NpCdO4 (GGA-PBE, relaxed); DOS at the Fermi energy = 0.50 states/eV per atom; raw formation energy = -2218 meV per atom; SG = Cmmm; electronic total energy = -47.0 eV for the cell shown
1.0
3.482 -3.599 0.000
3.482 3.599 0.000
0.000 0.000 3.497
Np Cd O
1 1 4
Direct
0.000 0.000 0.000
0.500 0.500 0.500
0.177 0.823 0.500
0.280 0.280 0.000
0.720 0.720 0.000
0.823 0.177 0.500

# 10
HfSbTe2Ir (GGA-PBE, relaxed); DOS at the Fermi energy = 1.02 states/eV per atom; raw formation energy = 615 meV per atom; SG = P4/mmm; polymorph energy (0 for the lowest one) = 0.000 eV/atom; electronic total energy = -26.1 eV for the cell shown
1.0
5.276 0.000 0.000
0.000 5.276 0.000
0.000 0.000 4.995
Hf Sb Te Ir
1 1 2 1
Direct
0.000 0.000 0.000
0.500 0.500 0.000
0.000 0.500 0.500
0.500 0.000 0.500
0.500 0.500 0.500

# 11
Rb3MnI6 (GGA-PBE, relaxed); DOS at the Fermi energy = 0.61 states/eV per atom; raw formation energy = -984 meV per atom; SG = R-3; polymorph energy (0 for the lowest one) = 0.029 eV/atom; electronic total energy = -62.4 eV for the cell shown
1.0
7.058 4.075 5.853
-7.058 4.075 5.853
0.000 -8.150 5.853
Rb Mn I
6 2 12
Direct
0.063 0.579 0.734
0.266 0.937 0.421
0.421 0.266 0.937
0.579 0.734 0.063
0.734 0.063 0.579
0.937 0.421 0.266
0.000 0.000 0.000
0.500 0.500 0.500
0.047 0.949 0.727
0.051 0.273 0.953
0.244 0.570 0.406
0.273 0.953 0.051
0.406 0.244 0.570
0.430 0.594 0.756
0.570 0.406 0.244
0.594 0.756 0.430
0.727 0.047 0.949
0.756 0.430 0.594
0.949 0.727 0.047
0.953 0.051 0.273

# 12
B2C3 (GGA-PBE, relaxed); DOS at the Fermi energy = 0.06 states/eV per atom; SG = C2/m; polymorph energy (0 for the lowest one) = 0.130 eV/atom; electronic total energy = -78.4 eV for the cell shown
1.0
7.002 -1.251 0.000
7.002 1.251 0.000
-0.788 0.000 3.695
B C
4 6
Direct
0.139 0.139 0.233
0.272 0.272 0.154
0.728 0.728 0.846
0.861 0.861 0.767
0.045 0.045 0.907
0.359 0.359 0.478
0.456 0.456 0.337
0.544 0.544 0.663
0.641 0.641 0.522
0.955 0.955 0.093

# 13
SbHBr (GGA-PBE, relaxed); DOS at the Fermi energy = 0.00 states/eV per atom; SG = Aem2; polymorph energy (0 for the lowest one) = 0.054 eV/atom; electronic total energy = -19.2 eV for the cell shown
1.0
6.100 0.000 0.000
0.000 3.124 4.544
0.000 -3.124 4.544
Sb H Br
2 2 2
Direct
0.018 0.250 0.750
0.982 0.750 0.250
0.208 0.867 0.367
0.792 0.367 0.867
0.279 0.519 0.019
0.721 0.019 0.519

# 14
Ru2RhCl2 (GGA-PBE, relaxed); DOS at the Fermi energy = 1.36 states/eV per atom; raw formation energy = 896 meV per atom; SG = I4/mmm; polymorph energy (0 for the lowest one) = 0.000 eV/atom; electronic total energy = -25.1 eV for the cell shown
1.0
-2.374 2.374 3.613
2.374 -2.374 3.613
2.374 2.374 -3.613
Ru Rh Cl
2 1 2
Direct
0.250 0.750 0.500
0.750 0.250 0.500
0.000 0.000 0.000
0.311 0.311 0.000
0.689 0.689 0.000

# 15
MgSb2Cl (GGA-PBE, relaxed); DOS at the Fermi energy = 0.43 states/eV per atom; raw formation energy = -49 meV per atom; SG = P4/mmm; polymorph energy (0 for the lowest one) = 0.486 eV/atom; electronic total energy = -11.9 eV for the cell shown
1.0
5.409 0.000 0.000
0.000 5.409 0.000
0.000 0.000 3.328
Mg Sb Cl
1 2 1
Direct
0.000 0.000 0.000
0.000 0.500 0.500
0.500 0.000 0.500
0.500 0.500 0.000

# 16
MgPF (GGA-PBE, relaxed); DOS at the Fermi energy = 0.06 states/eV per atom; raw formation energy = -1504 meV per atom; SG = P4/mmm; polymorph energy (0 for the lowest one) = 0.347 eV/atom; electronic total energy = -13.4 eV for the cell shown
1.0
2.885 0.000 0.000
0.000 2.885 0.000
0.000 0.000 5.212
Mg P F
1 1 1
Direct
0.000 0.000 0.000
0.000 0.000 0.500
0.500 0.500 0.000

# 17
Nd2ErSi3Ir4 (GGA-PBE, relaxed); DOS at the Fermi energy = 0.53 states/eV per atom; raw formation energy = -953 meV per atom; SG = P-4m2; electronic total energy = -75.3 eV for the cell shown
1.0
4.155 0.000 0.000
0.000 4.155 0.000
0.000 0.000 10.920
Nd Er Si Ir
2 1 3 4
Direct
0.000 0.500 0.233
0.500 0.000 0.767
0.000 0.000 0.500
0.000 0.500 0.882
0.500 0.000 0.118
0.500 0.500 0.500
0.000 0.000 0.000
0.000 0.500 0.660
0.500 0.000 0.340
0.500 0.500 0.000

# 18
TlOs8 (GGA-PBE, relaxed); DOS at the Fermi energy = 0.65 states/eV per atom; SG = I4/mmm; electronic total energy = -88.8 eV for the cell shown
1.0
-4.176 4.176 1.962
4.176 -4.176 1.962
4.176 4.176 -1.962
Tl Os
1 8
Direct
0.000 0.000 0.000
0.000 0.345 0.345
0.000 0.655 0.655
0.321 0.321 0.642
0.321 0.679 0.000
0.345 0.000 0.345
0.655 0.000 0.655
0.679 0.321 0.000
0.679 0.679 0.358

# 19
CaIrRh4 (GGA-PBE, relaxed); DOS at the Fermi energy = 2.19 states/eV per atom; SG = F-43m; electronic total energy = -39.4 eV for the cell shown
1.0
0.000 3.668 3.668
3.668 0.000 3.668
3.668 3.668 0.000
Ca Ir Rh
1 1 4
Direct
0.000 0.000 0.000
0.750 0.750 0.750
0.375 0.375 0.375
0.375 0.375 0.874
0.375 0.874 0.375
0.874 0.375 0.375

# 20
Hf2NbAl (GGA-PBE, relaxed); DOS at the Fermi energy = 0.69 states/eV per atom; SG = I-42d; electronic total energy = -64.6 eV for the cell shown
1.0
-2.017 2.017 10.197
2.017 -2.017 10.197
2.017 2.017 -10.197
Hf Nb Al
4 2 2
Direct
0.121 0.625 0.996
0.375 0.371 0.496
0.629 0.125 0.004
0.875 0.879 0.504
0.000 0.000 0.000
0.750 0.250 0.500
0.250 0.750 0.500
0.500 0.500 0.000

# 21
Pm3GeSb2Rh8 (GGA-PBE, relaxed); DOS at the Fermi energy = 0.96 states/eV per atom; raw formation energy = -559 meV per atom; SG = P-3m1; electronic total energy = -93.7 eV for the cell shown
1.0
5.490 0.000 0.000
-2.745 4.755 0.000
0.000 0.000 10.041
Pm Ge Sb Rh
3 1 2 8
Direct
0.000 0.000 0.000
0.333 0.667 0.561
0.667 0.333 0.439
0.000 0.000 0.500
0.333 0.667 0.092
0.667 0.333 0.908
0.162 0.324 0.293
0.162 0.838 0.293
0.324 0.162 0.707
0.333 0.667 0.837
0.667 0.333 0.163
0.676 0.838 0.293
0.838 0.162 0.707
0.838 0.676 0.707

# 22
POsBr2 (GGA-PBE, relaxed); DOS at the Fermi energy = 0.84 states/eV per atom; raw formation energy = 1320 meV per atom; SG = Pmmm; polymorph energy (0 for the lowest one) = 1.382 eV/atom; electronic total energy = -14.7 eV for the cell shown
1.0
3.051 0.000 0.000
0.000 4.420 0.000
0.000 0.000 5.628
P Os Br
1 1 2
Direct
0.000 0.000 0.000
0.500 0.000 0.500
0.000 0.500 0.500
0.500 0.500 0.000

# 23
AlGeMo (GGA-PBE, relaxed); DOS at the Fermi energy = 0.41 states/eV per atom; SG = P3m1; electronic total energy = -19.0 eV for the cell shown
1.0
4.471 0.000 0.000
-2.235 3.872 0.000
0.000 0.000 2.761
Al Ge Mo
1 1 1
Direct
0.000 0.000 0.000
0.333 0.667 0.615
0.667 0.333 0.504

# 24
Na2ClF (GGA-PBE, relaxed); DOS at the Fermi energy = 0.00 states/eV per atom; raw formation energy = -2223 meV per atom; SG = P4/nmm; polymorph energy (0 for the lowest one) = 0.000 eV/atom; electronic total energy = -30.5 eV for the cell shown
1.0
4.228 0.000 0.000
0.000 4.228 0.000
0.000 0.000 8.536
Na Cl F
4 2 2
Direct
0.250 0.250 0.152
0.250 0.750 0.500
0.750 0.250 0.500
0.750 0.750 0.848
0.250 0.250 0.829
0.750 0.750 0.171
0.250 0.250 0.414
0.750 0.750 0.586